(1)
Density functional theory data (PBE) for a relaxed structure of CsTcF4.

Unit cell a=8.3146 b=8.3146 c=4.5348 alpha=102.80 beta=102.80 gamma=47.70
Atoms (fractional coordinates):
Cs (0.1853, 0.1853, 0.1521)
Cs (0.8147, 0.8147, 0.8479)
Tc (0.4474, 0.4474, 0.6339)
Tc (0.5526, 0.5526, 0.3661)
F (0.1614, 0.6098, 0.3980)
F (0.3101, 0.6899, 0.0000)
F (0.3227, 0.3227, 0.7701)
F (0.3902, 0.8386, 0.6020)
F (0.6098, 0.1614, 0.3980)
F (0.6773, 0.6773, 0.2299)
F (0.6899, 0.3101, 0.0000)
F (0.8386, 0.3902, 0.6020)

- uncorrected formation energy (eV per atom) = -2.25
- crystal system = monoclinic

***

(2)
Density functional theory data (PBE) for a relaxed structure of NdDy2Pt9.

Unit cell a=9.3825 b=9.3825 c=9.3825 alpha=33.68 beta=33.68 gamma=33.68
Atoms (fractional coordinates):
Nd (0.0000, 0.0000, 0.0000)
Dy (0.1397, 0.1397, 0.1397)
Dy (0.8603, 0.8603, 0.8603)
Pt (0.0809, 0.5882, 0.5882)
Pt (0.3331, 0.3331, 0.3331)
Pt (0.4118, 0.4118, 0.9191)
Pt (0.4118, 0.9191, 0.4118)
Pt (0.5000, 0.5000, 0.5000)
Pt (0.5882, 0.0809, 0.5882)
Pt (0.5882, 0.5882, 0.0809)
Pt (0.6669, 0.6669, 0.6669)
Pt (0.9191, 0.4118, 0.4118)

- crystal system = trigonal
- energy relative to the elements (eV per formula unit) = -11.473
- density of states at the Fermi level (states/eV per cell) = 9.3

***

(3)
Density functional theory data (PBE) for a relaxed structure of Pm3InSi.

Unit cell a=7.4553 b=7.4553 c=7.4553 alpha=90.00 beta=90.00 gamma=90.00
Atoms (fractional coordinates):
Pm (0.0000, 0.0000, 0.0000)
Pm (0.2691, 0.2691, 0.2691)
Pm (0.2691, 0.2691, 0.7309)
Pm (0.2691, 0.7309, 0.2691)
Pm (0.2691, 0.7309, 0.7309)
Pm (0.7309, 0.2691, 0.2691)
Pm (0.7309, 0.2691, 0.7309)
Pm (0.7309, 0.7309, 0.2691)
Pm (0.7309, 0.7309, 0.7309)
In (0.0000, 0.0000, 0.5000)
In (0.0000, 0.5000, 0.0000)
In (0.5000, 0.0000, 0.0000)
Si (0.0000, 0.5000, 0.5000)
Si (0.5000, 0.0000, 0.5000)
Si (0.5000, 0.5000, 0.0000)

- relative energy among the computed polymorphs (meV per atom) = 0
- uncorrected formation energy (eV per atom) = -0.37
- crystal system = cubic
- density of states at the Fermi level (states/eV per cell) = 14.7